(1)
The following is a PBE calculation of a geometry-optimized AsPbCl2 structure, from Alexandria. Values from VASP.

energy above the lowest structure with this stoichiometry = 288 meV/atom
calculated density = 4.8 Mg/m³
ΔE_f (raw) = -148 meV/atom
Fermi-level density of states = 0.1621 states/eV per atom
space group = P4/mmm (123)

Quantum ESPRESSO input file:
```
&SYSTEM
  ibrav = 0, nat = 4, ntyp = 3
/
ATOMIC_SPECIES
As 74.92 As.upf
Pb 207.20 Pb.upf
Cl 35.45 Cl.upf
CELL_PARAMETERS angstrom
3.479 0.000 0.000
0.000 3.479 0.000
0.000 0.000 10.147
ATOMIC_POSITIONS crystal
As 0.000 0.000 0.000
Pb 0.000 0.000 0.500
Cl 0.500 0.500 0.331
Cl 0.500 0.500 0.669
```

---

(2)
The following is a PBE calculation of a geometry-optimized AsPb2Cl structure, from Alexandria. Values from VASP.

energy above the lowest structure with this stoichiometry = 294 meV/atom
calculated density = 6.7 Mg/m³
ΔE_f (raw) = -181 meV/atom
Fermi-level density of states = 0.0384 states/eV per atom
space group = R3m (160)

Quantum ESPRESSO input file:
```
&SYSTEM
  ibrav = 0, nat = 4, ntyp = 3
/
ATOMIC_SPECIES
As 74.92 As.upf
Pb 207.20 Pb.upf
Cl 35.45 Cl.upf
CELL_PARAMETERS angstrom
2.132 1.231 8.214
-2.132 1.231 8.214
0.000 -2.462 8.214
ATOMIC_POSITIONS crystal
As 0.000 0.000 0.000
Pb 0.484 0.484 0.484
Pb 0.721 0.721 0.721
Cl 0.212 0.212 0.212
```

---

(3)
The following is a PBE calculation of a geometry-optimized AsPbCl2 structure, from Alexandria. Values from VASP.

energy above the lowest structure with this stoichiometry = 291 meV/atom
calculated density = 5.9 Mg/m³
ΔE_f (raw) = -145 meV/atom
Fermi-level density of states = 0.5204 states/eV per atom
space group = I-4m2 (119)

Quantum ESPRESSO input file:
```
&SYSTEM
  ibrav = 0, nat = 4, ntyp = 3
/
ATOMIC_SPECIES
As 74.92 As.upf
Pb 207.20 Pb.upf
Cl 35.45 Cl.upf
CELL_PARAMETERS angstrom
-2.062 2.062 5.859
2.062 -2.062 5.859
2.062 2.062 -5.859
ATOMIC_POSITIONS crystal
As 0.000 0.000 0.000
Pb 0.750 0.250 0.500
Cl 0.250 0.750 0.500
Cl 0.500 0.500 0.000
```

---

(4)
The following is a PBE calculation of a geometry-optimized AsPb2Cl structure, from Alexandria. Values from VASP.

energy above the lowest structure with this stoichiometry = 25 meV/atom
calculated density = 7.1 Mg/m³
ΔE_f (raw) = -450 meV/atom
Fermi-level density of states = 0.0138 states/eV per atom
space group = R3m (160)

Quantum ESPRESSO input file:
```
&SYSTEM
  ibrav = 0, nat = 4, ntyp = 3
/
ATOMIC_SPECIES
As 74.92 As.upf
Pb 207.20 Pb.upf
Cl 35.45 Cl.upf
CELL_PARAMETERS angstrom
2.161 1.247 7.617
-2.161 1.247 7.617
0.000 -2.495 7.617
ATOMIC_POSITIONS crystal
As 0.000 0.000 0.000
Pb 0.409 0.409 0.409
Pb 0.599 0.599 0.599
Cl 0.820 0.820 0.820
```